(1)
Density functional theory data (GGA+U) for a relaxed TmBi2MoO8 crystal.

Computed properties:
calculated density: 7.58 Mg/m³
volume: 178 Å³/cell
E: -80.0 eV for the cell shown
space group: Cmmm, No. 65

abc: 5.1308 5.1308 6.7463
angles: 90.00 90.00 90.03
Last column: nearest neighbours and their distance in Å.
Sites, in units of the cell vectors:
Tm (0.0000, 0.0000, 0.0000)  6 O 2.22-2.29
Bi (0.5000, 0.5000, 0.2530)  6 O 2.22-2.38
Bi (0.5000, 0.5000, 0.7470)  6 O 2.22-2.38
Mo (0.0000, 0.0000, 0.5000)  6 O 1.93-1.97
O (0.1788, 0.1788, 0.2793)  1 Mo 1.97
O (0.1788, 0.1788, 0.7207)  1 Mo 1.97
O (0.2665, 0.7335, 0.5000)  1 Mo 1.93
O (0.3054, 0.6946, 0.0000)  2 Bi 2.22, 1 Tm 2.22
O (0.6946, 0.3054, 0.0000)  2 Bi 2.22, 1 Tm 2.22
O (0.7335, 0.2665, 0.5000)  1 Mo 1.93
O (0.8212, 0.8212, 0.2793)  1 Mo 1.97
O (0.8212, 0.8212, 0.7207)  1 Mo 1.97

***

(2)
Density functional theory data (GGA+U) for a relaxed V2BiMoO8 crystal.

Computed properties:
calculated density: 4.78 Mg/m³
volume: 186 Å³/cell
E: -85.7 eV for the cell shown
space group: P-3m1, No. 164

abc: 5.7315 5.7315 6.5347
angles: 90.00 90.00 120.00
Last column: nearest neighbours and their distance in Å.
Sites, in units of the cell vectors:
V (0.3333, 0.6667, 0.2933)  4 O 1.65-1.78
V (0.6667, 0.3333, 0.7067)  4 O 1.65-1.78
Bi (0.0000, 0.0000, 0.5000)  6 O 2.43
Mo (0.0000, 0.0000, 0.0000)  6 O 2.14
O (0.1604, 0.3207, 0.2189)  1 V 1.78
O (0.1604, 0.8396, 0.2189)  1 V 1.78
O (0.3207, 0.1604, 0.7811)  1 V 1.78
O (0.3333, 0.6667, 0.5457)  1 V 1.65
O (0.6667, 0.3333, 0.4543)  1 V 1.65
O (0.6793, 0.8396, 0.2189)  1 V 1.78
O (0.8396, 0.1604, 0.7811)  1 V 1.78
O (0.8396, 0.6793, 0.7811)  1 V 1.78

***

(3)
Density functional theory data (GGA+U) for a relaxed YBiMoO6 crystal.

Computed properties:
calculated density: 6.23 Mg/m³
volume: 261 Å³/cell
E: -130.7 eV for the cell shown
space group: P-31c, No. 163

abc: 5.5929 5.5929 9.6411
angles: 90.00 90.00 120.00
Last column: nearest neighbours and their distance in Å.
Sites, in units of the cell vectors:
Y (0.3333, 0.6667, 0.2500)  6 O 2.26
Y (0.6667, 0.3333, 0.7500)  6 O 2.26
Bi (0.0000, 0.0000, 0.0000)  6 O 2.40
Bi (0.0000, 0.0000, 0.5000)  6 O 2.40
Mo (0.3333, 0.6667, 0.7500)  6 O 1.96
Mo (0.6667, 0.3333, 0.2500)  6 O 1.96
O (0.0415, 0.3777, 0.6370)  1 Mo 1.96
O (0.0415, 0.6638, 0.8630)  1 Mo 1.96
O (0.3362, 0.3777, 0.8630)  1 Mo 1.96
O (0.3362, 0.9585, 0.6370)  1 Mo 1.96
O (0.3777, 0.0415, 0.1370)  1 Mo 1.96
O (0.3777, 0.3362, 0.3630)  1 Mo 1.96
O (0.6223, 0.6638, 0.6370)  1 Mo 1.96
O (0.6223, 0.9585, 0.8630)  1 Mo 1.96
O (0.6638, 0.0415, 0.3630)  1 Mo 1.96
O (0.6638, 0.6223, 0.1370)  1 Mo 1.96
O (0.9585, 0.3362, 0.1370)  1 Mo 1.96
O (0.9585, 0.6223, 0.3630)  1 Mo 1.96